# 1
VASP calculation (PBE-GGA) on a relaxed Tm3Be2Si3 crystal.

Values from the calculation:
For the uncorrected formation energy, the calculation gives -4.86 eV per formula unit. Its energy relative to the lowest polymorph listed for this composition is 0 meV per atom.

```
Tm3Be2Si3
1.0
1.9120 -5.1704 0.0000
1.9120 5.1704 0.0000
0.0000 0.0000 14.4407
Tm Be Si
6 4 6
Direct
0.0555 0.9445 0.7500
0.3546 0.6454 0.5940
0.3546 0.6454 0.9060
0.6454 0.3546 0.0940
0.6454 0.3546 0.4060
0.9445 0.0555 0.2500
0.3572 0.6428 0.1196
0.3572 0.6428 0.3804
0.6428 0.3572 0.6196
0.6428 0.3572 0.8804
0.0792 0.9208 0.5577
0.0792 0.9208 0.9423
0.2261 0.7739 0.2500
0.7739 0.2261 0.7500
0.9208 0.0792 0.0577
0.9208 0.0792 0.4423
```


# 2
VASP calculation (PBE-GGA) on a relaxed ZrTl2CuSe4 crystal.

Values from the calculation:
For the uncorrected formation energy, the calculation gives -5.03 eV per formula unit.

```
ZrTl2CuSe4
1.0
7.1524 0.0000 0.0000
0.0000 3.8052 0.0000
-2.7637 0.0000 7.6711
Zr Tl Cu Se
1 2 1 4
Direct
0.0000 0.0000 0.0000
0.0000 0.5000 0.5000
0.5000 0.0000 0.5000
0.5000 0.5000 0.0000
0.2101 0.5000 0.2149
0.2902 0.0000 0.8360
0.7098 0.0000 0.1640
0.7899 0.5000 0.7851
```


# 3
VASP calculation (PBE-GGA) on a relaxed CoCuTe2 crystal.

Values from the calculation:
For the uncorrected formation energy, the calculation gives 1.48 eV per formula unit. Its energy relative to the lowest polymorph listed for this composition is 330 meV per atom.

```
CoCuTe2
1.0
7.4637 0.0000 0.0000
0.0000 7.4614 0.0000
-0.1415 0.0000 3.1228
Co Cu Te
2 2 4
Direct
0.0000 0.0000 0.0000
0.5000 0.5000 0.0000
0.0000 0.5000 0.0000
0.5000 0.0000 0.0000
0.2500 0.2500 0.0000
0.2500 0.7500 0.0000
0.7500 0.2500 0.0000
0.7500 0.7500 0.0000
```


# 4
VASP calculation (PBE-GGA) on a relaxed Rb2IrO3 crystal.

Values from the calculation:
For the uncorrected formation energy, the calculation gives -5.63 eV per formula unit. Its energy relative to the lowest polymorph listed for this composition is 163 meV per atom.

```
Rb2IrO3
1.0
5.1926 -3.6058 0.0000
5.1926 3.6058 0.0000
0.0000 0.0000 6.2530
Rb Ir O
4 2 6
Direct
0.0420 0.3016 0.2500
0.3016 0.0420 0.7500
0.6984 0.9580 0.2500
0.9580 0.6984 0.7500
0.4576 0.5424 0.2500
0.5424 0.4576 0.7500
0.1864 0.8136 0.2500
0.3811 0.3811 0.0000
0.3811 0.3811 0.5000
0.6189 0.6189 0.0000
0.6189 0.6189 0.5000
0.8136 0.1864 0.7500
```


# 5
VASP calculation (PBE-GGA) on a relaxed Be3Nb2Ga crystal.

Values from the calculation:
For the formation energy, the calculation gives -0.23 eV/atom.

```
Be3Nb2Ga
1.0
0.0000 3.7795 6.5387
3.1145 0.0000 6.5387
3.1145 3.7795 0.0000
Be Nb Ga
6 4 2
Direct
0.1618 0.1618 0.8382
0.1615 0.6771 0.3229
0.3229 0.8385 0.1615
0.6771 0.1615 0.8385
0.8385 0.3229 0.6771
0.8382 0.8382 0.1618
0.2446 0.7554 0.7554
0.2500 0.2500 0.2500
0.7500 0.7500 0.7500
0.7554 0.2446 0.2446
0.3340 0.3340 0.6660
0.6660 0.6660 0.3340
```


# 6
VASP calculation (PBE-GGA) on a relaxed RbNa crystal.

Values from the calculation:
For the formation energy, the calculation gives 0.04 eV/atom.

```
RbNa
1.0
4.9658 0.0000 0.0000
0.0000 4.9658 0.0000
0.0000 0.0000 4.9658
Rb Na
1 1
Direct
0.0000 0.0000 0.0000
0.5000 0.5000 0.5000
```


no.,total magnetic moment (Bohr magnetons per cell),total DFT energy (no corrections) (eV per cell)
1,0.0,-83.99
2,0.0,-36.34
3,2.7,-32.01
4,0.0,-62.60
5,0.0,-71.47
6,0.0,-2.21